NbOsNF2: optimized geometry, PBE-GGA.

Lattice parameters (Å, degrees): 4.3376 4.3376 3.7728 90.00 90.00 90.00
Closest atoms and distances in Å follow each position.
Element x y z (fractional)
Nb 0.5000 0.5000 0.5000  8 F 2.87, 4 N 3.07
N 0.0000 0.0000 0.5000  2 Os 1.89
Os 0.0000 0.0000 0.0000  2 N 1.89
F 0.0000 0.5000 0.0000  2 Os 2.17
F 0.5000 0.0000 0.0000  2 Os 2.17

Properties
Energy above the most stable polymorph in this dataset = 0.191 eV/atom
E_form (uncorrected) = 0.2565 eV/atom
Volume = 70.98 Å³/cell

NbOsN2F: optimized geometry, PBE-GGA.

Lattice parameters (Å, degrees): 4.1204 4.1204 3.9535 90.00 90.00 90.00
Closest atoms and distances in Å follow each position.
Element x y z (fractional)
Nb 0.0000 0.0000 0.0000  2 F 1.98, 4 N 2.06
N 0.0000 0.5000 0.0000  2 Nb 2.06
N 0.5000 0.0000 0.0000  2 Nb 2.06
Os 0.5000 0.5000 0.5000  8 N 2.86, 4 F 2.91
F 0.0000 0.0000 0.5000  2 Nb 1.98

Properties
Energy above the most stable polymorph in this dataset = 0.077 eV/atom
E_form (uncorrected) = 0.6619 eV/atom
Volume = 67.12 Å³/cell

NbPdN2F: optimized geometry, PBE-GGA.

Lattice parameters (Å, degrees): 3.9802 3.9802 3.8924 90.00 90.00 90.00
Closest atoms and distances in Å follow each position.
Element x y z (fractional)
Nb 0.5000 0.5000 0.5000  8 N 2.78, 4 F 2.81
N 0.0000 0.5000 0.0000  2 Pd 1.99
N 0.5000 0.0000 0.0000  2 Pd 1.99
Pd 0.0000 0.0000 0.0000  2 F 1.95, 4 N 1.99
F 0.0000 0.0000 0.5000  2 Pd 1.95

Properties
Energy above the most stable polymorph in this dataset = 0.998 eV/atom
E_form (uncorrected) = 0.8673 eV/atom
Volume = 61.66 Å³/cell

NbPdN2F: optimized geometry, PBE-GGA.

Lattice parameters (Å, degrees): 4.0913 4.0913 4.0388 90.00 90.00 90.00
Closest atoms and distances in Å follow each position.
Element x y z (fractional)
Nb 0.0000 0.0000 0.0000  2 F 2.02, 4 N 2.05
N 0.0000 0.5000 0.0000  2 Nb 2.05
N 0.5000 0.0000 0.0000  2 Nb 2.05
Pd 0.5000 0.5000 0.5000  8 N 2.87, 4 F 2.89
F 0.0000 0.0000 0.5000  2 Nb 2.02

Properties
Energy above the most stable polymorph in this dataset = 0.000 eV/atom
E_form (uncorrected) = -0.1312 eV/atom
Volume = 67.60 Å³/cell